(1)
{"formula": "LiPb2BrCl4", "functional": "PBE-GGA", "state": "relaxed", "lattice": [[-1.515, -2.114, 3.094], [4.709, -4.196, 2.079], [3.660, 4.109, 7.239]], "species": ["Cl", "Li", "Cl", "Br", "Pb", "Cl", "Pb", "Cl"], "fractional_positions": [[0.385, 0.294, 0.936], [0.000, 0.000, 0.000], [0.615, 0.706, 0.064], [0.500, 0.500, 0.500], [0.181, 0.387, 0.251], [0.165, 0.935, 0.734], [0.819, 0.613, 0.749], [0.835, 0.065, 0.266]], "total_energy_ev_per_atom": -3.550, "raw_formation_energy_ev_per_atom": -1.252, "total_magnetization_mub_per_fu": 0.00, "spacegroup": "No. 12"}


(2)
{"formula": "LiPdBrCl2", "functional": "PBE-GGA", "state": "relaxed", "lattice": [[4.579, 0.000, 0.000], [0.000, 7.782, 0.000], [0.000, 0.000, 4.579]], "species": ["Pd", "Li", "Cl", "Cl", "Br"], "fractional_positions": [[0.000, 0.000, 0.000], [0.000, 0.500, 0.000], [0.000, 0.000, 0.500], [0.500, 0.000, 0.000], [0.500, 0.500, 0.500]], "total_energy_ev_per_atom": -2.960, "raw_formation_energy_ev_per_atom": -0.466, "total_magnetization_mub_per_fu": 0.00, "spacegroup": "No. 123"}


(3)
{"formula": "Li2Pu2Br5Cl2", "functional": "PBE-GGA", "state": "relaxed", "lattice": [[5.884, 0.000, 0.000], [0.000, 5.884, 0.000], [-2.942, -2.942, 11.299]], "species": ["Cl", "Br", "Cl", "Li", "Pu", "Br", "Pu", "Br", "Br", "Br", "Li"], "fractional_positions": [[0.753, 0.753, 0.507], [0.000, 0.000, 0.000], [0.247, 0.247, 0.493], [0.653, 0.653, 0.307], [0.871, 0.871, 0.742], [0.876, 0.376, 0.752], [0.129, 0.129, 0.258], [0.624, 0.124, 0.248], [0.376, 0.876, 0.752], [0.124, 0.624, 0.248], [0.347, 0.347, 0.693]], "total_energy_ev_per_atom": -5.561, "raw_formation_energy_ev_per_atom": -1.512, "total_magnetization_mub_per_fu": 11.00, "spacegroup": "No. 139"}


(4)
{"formula": "RbLiBrCl", "functional": "PBE-GGA", "state": "relaxed", "lattice": [[-0.669, -4.225, 2.700], [-2.413, -2.117, -3.910], [8.202, -3.369, -3.237]], "species": ["Br", "Rb", "Rb", "Li", "Cl", "Cl", "Li", "Br"], "fractional_positions": [[0.500, 0.500, 0.500], [0.000, 0.500, 0.811], [0.500, 0.000, 0.189], [0.000, 0.500, 0.406], [0.500, 0.000, 0.842], [0.000, 0.500, 0.158], [0.500, 0.000, 0.594], [0.000, 0.000, 0.500]], "total_energy_ev_per_atom": -3.333, "raw_formation_energy_ev_per_atom": -1.733, "total_magnetization_mub_per_fu": 0.00, "spacegroup": "No. 129"}


(5)
{"formula": "Rb2LiBr6Cl", "functional": "PBE-GGA", "state": "relaxed", "lattice": [[-2.115, 2.942, -7.105], [-5.609, -5.631, -0.662], [-7.486, 1.977, -1.430]], "species": ["Br", "Rb", "Cl", "Rb", "Br", "Br", "Br", "Br", "Br", "Li"], "fractional_positions": [[0.278, 0.722, 0.000], [0.750, 0.250, 0.500], [0.000, 0.000, 0.000], [0.250, 0.750, 0.500], [0.722, 0.278, 0.000], [0.722, 0.722, 0.000], [0.278, 0.278, 0.000], [0.222, 0.222, 0.555], [0.778, 0.778, 0.445], [0.500, 0.500, 0.000]], "total_energy_ev_per_atom": -2.368, "raw_formation_energy_ev_per_atom": -0.795, "total_magnetization_mub_per_fu": 1.77, "spacegroup": "No. 139"}


(6)
{"formula": "Rb3Li2Br2Cl4", "functional": "PBE-GGA", "state": "relaxed", "lattice": [[-3.117, 0.116, -3.876], [-2.083, -4.245, 1.548], [-6.422, 9.215, 8.632]], "species": ["Rb", "Cl", "Li", "Br", "Li", "Rb", "Rb", "Cl", "Cl", "Cl", "Br"], "fractional_positions": [[0.174, 0.174, 0.347], [0.416, 0.916, 0.832], [0.603, 0.603, 0.206], [0.302, 0.302, 0.604], [0.397, 0.397, 0.794], [0.000, 0.000, 0.000], [0.826, 0.826, 0.653], [0.916, 0.416, 0.832], [0.584, 0.084, 0.168], [0.084, 0.584, 0.168], [0.698, 0.698, 0.396]], "total_energy_ev_per_atom": -3.172, "raw_formation_energy_ev_per_atom": -1.585, "total_magnetization_mub_per_fu": 1.03, "spacegroup": "No. 139"}


(7)
{"formula": "LiS2BrCl", "functional": "PBE-GGA", "state": "relaxed", "lattice": [[-4.407, -0.645, -1.616], [-1.170, -2.158, 4.052], [-1.858, 6.014, 2.666]], "species": ["Br", "S", "S", "Cl", "Li"], "fractional_positions": [[0.000, 0.000, 0.000], [0.000, 0.500, 0.000], [0.500, 0.000, 0.000], [0.000, 0.000, 0.500], [0.500, 0.500, 0.500]], "total_energy_ev_per_atom": -2.429, "raw_formation_energy_ev_per_atom": 0.308, "total_magnetization_mub_per_fu": 0.00, "polymorph_energy_mev_per_atom": 0, "spacegroup": "No. 123"}


(8)
{"formula": "Li5SBr2Cl", "functional": "PBE-GGA", "state": "relaxed", "lattice": [[4.487, 0.000, 0.000], [0.000, 6.490, 0.000], [-2.244, -3.245, 6.623]], "species": ["Li", "Li", "Li", "Br", "S", "Br", "Li", "Cl", "Li"], "fractional_positions": [[0.629, 0.881, 0.257], [0.000, 0.000, 0.000], [0.371, 0.624, 0.743], [0.772, 0.772, 0.544], [0.500, 0.000, 0.000], [0.228, 0.228, 0.456], [0.371, 0.119, 0.743], [0.000, 0.500, 0.000], [0.629, 0.376, 0.257]], "total_energy_ev_per_atom": -3.483, "raw_formation_energy_ev_per_atom": -1.384, "total_magnetization_mub_per_fu": 0.00, "spacegroup": "No. 71"}


(9)
{"formula": "LiS2BrCl", "functional": "PBE-GGA", "state": "relaxed", "lattice": [[-3.981, -0.589, -2.510], [2.548, -1.595, -3.668], [-0.362, -4.129, 1.543]], "species": ["S", "S", "Li", "Cl", "Br"], "fractional_positions": [[0.000, 0.500, 0.000], [0.500, 0.000, 0.000], [0.000, 0.000, 0.000], [0.000, 0.000, 0.500], [0.500, 0.500, 0.500]], "total_energy_ev_per_atom": -2.320, "raw_formation_energy_ev_per_atom": 0.418, "total_magnetization_mub_per_fu": 0.00, "polymorph_energy_mev_per_atom": 110, "spacegroup": "No. 123"}


(10)
{"formula": "LiSe2BrCl", "functional": "PBE-GGA", "state": "relaxed", "lattice": [[-0.532, -4.393, 1.902], [4.011, -1.454, -2.237], [4.130, 2.111, 6.033]], "species": ["Br", "Cl", "Li", "Se", "Se"], "fractional_positions": [[0.000, 0.000, 0.500], [0.000, 0.000, 0.000], [0.500, 0.500, 0.500], [0.500, 0.000, 0.000], [0.000, 0.500, 0.000]], "total_energy_ev_per_atom": -2.265, "raw_formation_energy_ev_per_atom": 0.215, "total_magnetization_mub_per_fu": 1.50, "polymorph_energy_mev_per_atom": 0, "spacegroup": "No. 123"}


(11)
{"formula": "LiSeBrCl2", "functional": "PBE-GGA", "state": "relaxed", "lattice": [[4.410, 0.000, 0.000], [0.000, 6.360, 0.000], [0.000, 0.000, 4.410]], "species": ["Br", "Cl", "Se", "Cl", "Li"], "fractional_positions": [[0.000, 0.500, 0.000], [0.000, 0.000, 0.500], [0.500, 0.500, 0.500], [0.500, 0.000, 0.000], [0.000, 0.000, 0.000]], "total_energy_ev_per_atom": -2.342, "raw_formation_energy_ev_per_atom": -0.189, "total_magnetization_mub_per_fu": 1.34, "spacegroup": "No. 123"}


(12)
{"formula": "LiSe2BrCl", "functional": "PBE-GGA", "state": "relaxed", "lattice": [[4.857, 0.000, 0.000], [0.000, 4.857, 0.000], [0.000, 0.000, 4.744]], "species": ["Li", "Br", "Se", "Se", "Cl"], "fractional_positions": [[0.000, 0.000, 0.000], [0.000, 0.000, 0.500], [0.000, 0.500, 0.000], [0.500, 0.000, 0.000], [0.500, 0.500, 0.500]], "total_energy_ev_per_atom": -2.222, "raw_formation_energy_ev_per_atom": 0.259, "total_magnetization_mub_per_fu": 0.00, "polymorph_energy_mev_per_atom": 44, "spacegroup": "No. 123"}


(13)
{"formula": "LiSn2BrCl4", "functional": "PBE-GGA", "state": "relaxed", "lattice": [[-1.693, -1.809, 3.096], [-0.863, -6.374, -1.658], [6.924, -4.198, 3.873]], "species": ["Cl", "Cl", "Sn", "Sn", "Li", "Cl", "Cl", "Br"], "fractional_positions": [[0.615, 0.709, 0.060], [0.829, 0.072, 0.271], [0.184, 0.384, 0.249], [0.816, 0.616, 0.751], [0.000, 0.000, 0.000], [0.385, 0.291, 0.940], [0.171, 0.928, 0.729], [0.500, 0.500, 0.500]], "total_energy_ev_per_atom": -3.506, "raw_formation_energy_ev_per_atom": -1.134, "total_magnetization_mub_per_fu": 0.00, "spacegroup": "No. 12"}


(14)
{"formula": "LiSnBrCl2", "functional": "PBE-GGA", "state": "relaxed", "lattice": [[-1.567, -0.285, 3.783], [-5.362, -5.152, -2.609], [6.609, -4.876, 2.370]], "species": ["Cl", "Br", "Cl", "Sn", "Li", "Sn", "Cl", "Li", "Cl", "Br"], "fractional_positions": [[0.250, 0.595, 0.361], [0.250, 0.746, 0.975], [0.750, 0.913, 0.628], [0.750, 0.801, 0.282], [0.750, 0.704, 0.794], [0.250, 0.199, 0.718], [0.250, 0.087, 0.372], [0.250, 0.296, 0.206], [0.750, 0.405, 0.639], [0.750, 0.254, 0.025]], "total_energy_ev_per_atom": -3.465, "raw_formation_energy_ev_per_atom": -1.208, "total_magnetization_mub_per_fu": 0.00, "spacegroup": "No. 11"}


(15)
{"formula": "SrLiBrCl2", "functional": "PBE-GGA", "state": "relaxed", "lattice": [[-3.778, 1.931, -2.424], [-0.506, -6.637, -4.498], [-4.393, 1.925, 8.378]], "species": ["Br", "Cl", "Li", "Cl", "Cl", "Sr", "Cl", "Li", "Sr", "Br"], "fractional_positions": [[0.250, 0.999, 0.838], [0.250, 0.393, 0.550], [0.250, 0.658, 0.498], [0.250, 0.583, 0.181], [0.750, 0.607, 0.450], [0.750, 0.311, 0.062], [0.750, 0.417, 0.819], [0.750, 0.342, 0.502], [0.250, 0.689, 0.938], [0.750, 0.001, 0.162]], "total_energy_ev_per_atom": -3.873, "raw_formation_energy_ev_per_atom": -2.081, "total_magnetization_mub_per_fu": 0.00, "spacegroup": "No. 11"}


(16)
{"formula": "Li2TlBrCl2", "functional": "PBE-GGA", "state": "relaxed", "lattice": [[-3.418, -3.729, -3.241], [5.890, -3.444, -2.249], [-2.399, -3.832, 6.939]], "species": ["Li", "Cl", "Li", "Cl", "Cl", "Br", "Li", "Li", "Tl", "Tl", "Br", "Cl"], "fractional_positions": [[0.002, 0.876, 0.807], [0.750, 0.911, 0.607], [0.502, 0.124, 0.193], [0.250, 0.089, 0.393], [0.750, 0.378, 0.297], [0.250, 0.167, 0.953], [0.998, 0.124, 0.193], [0.498, 0.876, 0.807], [0.250, 0.650, 0.341], [0.750, 0.350, 0.659], [0.750, 0.833, 0.047], [0.250, 0.622, 0.703]], "total_energy_ev_per_atom": -3.351, "raw_formation_energy_ev_per_atom": -1.424, "total_magnetization_mub_per_fu": 0.00, "spacegroup": "No. 11"}


(17)
{"formula": "Li2TlBr2Cl", "functional": "PBE-GGA", "state": "relaxed", "lattice": [[5.958, 0.000, 0.000], [0.000, 7.511, 0.331], [0.000, -2.404, 8.150]], "species": ["Br", "Li", "Cl", "Tl", "Cl", "Br", "Br", "Br", "Tl", "Li", "Li", "Li"], "fractional_positions": [[0.250, 0.590, 0.746], [0.000, 0.864, 0.836], [0.250, 0.113, 0.940], [0.250, 0.679, 0.390], [0.750, 0.887, 0.060], [0.750, 0.410, 0.254], [0.250, 0.120, 0.397], [0.750, 0.880, 0.603], [0.750, 0.321, 0.610], [0.500, 0.136, 0.164], [0.500, 0.864, 0.836], [0.000, 0.136, 0.164]], "total_energy_ev_per_atom": -3.260, "raw_formation_energy_ev_per_atom": -1.362, "total_magnetization_mub_per_fu": 0.00, "spacegroup": "No. 11"}


(18)
{"formula": "LiTlBrCl", "functional": "PBE-GGA", "state": "relaxed", "lattice": [[4.330, 0.000, 0.000], [-2.165, 3.750, 0.000], [0.000, 0.000, 15.116]], "species": ["Li", "Cl", "Tl", "Br", "Tl", "Li", "Cl", "Br"], "fractional_positions": [[0.000, 0.000, 0.987], [0.000, 0.000, 0.142], [0.333, 0.667, 0.255], [0.667, 0.333, 0.428], [0.667, 0.333, 0.755], [0.000, 0.000, 0.487], [0.000, 0.000, 0.642], [0.333, 0.667, 0.928]], "total_energy_ev_per_atom": -3.214, "raw_formation_energy_ev_per_atom": -1.264, "total_magnetization_mub_per_fu": 0.00, "spacegroup": "No. 186"}


(19)
{"formula": "LiUBrCl4", "functional": "PBE-GGA", "state": "relaxed", "lattice": [[-0.325, -6.540, -3.299], [6.977, -1.756, -1.413], [3.802, -8.319, 6.378]], "species": ["Cl", "Cl", "Li", "Li", "Br", "U", "Cl", "Cl", "Cl", "Cl", "Cl", "U", "Br", "Cl"], "fractional_positions": [[0.418, 0.418, 0.697], [0.819, 0.819, 0.449], [0.367, 0.367, 0.320], [0.633, 0.633, 0.680], [0.118, 0.118, 0.070], [0.166, 0.166, 0.791], [0.550, 0.131, 0.199], [0.582, 0.582, 0.303], [0.131, 0.550, 0.199], [0.181, 0.181, 0.551], [0.450, 0.869, 0.801], [0.834, 0.834, 0.209], [0.882, 0.882, 0.930], [0.869, 0.450, 0.801]], "total_energy_ev_per_atom": -4.838, "raw_formation_energy_ev_per_atom": -1.658, "total_magnetization_mub_per_fu": 2.00, "spacegroup": "No. 12"}


(20)
{"formula": "Li3UBr2Cl6", "functional": "PBE-GGA", "state": "relaxed", "lattice": [[6.549, 0.000, -0.448], [0.000, 7.696, 0.000], [-1.499, -3.848, 6.937]], "species": ["Cl", "Cl", "Li", "Br", "Cl", "Cl", "Li", "U", "Li", "Cl", "Cl", "Br"], "fractional_positions": [[0.736, 0.332, 0.198], [0.284, 0.126, 0.252], [0.500, 0.500, 0.500], [0.725, 0.343, 0.686], [0.264, 0.668, 0.802], [0.264, 0.134, 0.802], [0.000, 0.500, 0.000], [0.500, 0.000, 0.000], [0.500, 0.000, 0.500], [0.716, 0.874, 0.748], [0.736, 0.866, 0.198], [0.275, 0.657, 0.314]], "total_energy_ev_per_atom": -4.207, "raw_formation_energy_ev_per_atom": -1.586, "total_magnetization_mub_per_fu": 1.00, "spacegroup": "No. 12"}